# 1
Ac5TlGe4 after structural relaxation. Source: the Alexandria database, functional PBE.

Formation energy from the elements (eV/atom): -0.495
SG: I4 (79)

abc: 6.646 7.956 7.956
angles: 79.95 65.31 65.31
Atoms (fractional coordinates):
Ac 0.607 0.000 0.000
Ac 0.654 0.215 0.425
Ge 0.176 0.183 0.400
Ac 0.869 0.425 0.785
Ge 0.760 0.817 0.600
Ge 0.360 0.400 0.817
Ge 0.577 0.600 0.183
Ac 0.294 0.785 0.575
Ac 0.079 0.575 0.215
Tl 0.135 0.000 0.000

# 2
Sr2PbN2 after structural relaxation. Source: the Alexandria database, functional PBE.

Formation energy from raw total energies (eV per atom): -0.389
SG: Cmce (64)

abc: 6.587 6.587 12.980
angles: 90.00 90.00 130.33
Atoms (fractional coordinates):
Sr 0.039 0.961 0.640
Sr 0.142 0.858 0.043
N 0.847 0.153 0.544
N 0.066 0.934 0.860
N 0.566 0.434 0.640
Sr 0.539 0.461 0.860
Sr 0.358 0.642 0.543
Sr 0.642 0.358 0.457
Sr 0.858 0.142 0.957
N 0.934 0.066 0.140
N 0.434 0.566 0.360
Sr 0.961 0.039 0.360
Pb 0.753 0.247 0.187
Sr 0.461 0.539 0.140
N 0.153 0.847 0.456
Pb 0.247 0.753 0.813
Pb 0.253 0.747 0.313
N 0.653 0.347 0.044
Pb 0.747 0.253 0.687
N 0.347 0.653 0.956

# 3
RbCI2 after structural relaxation. Source: the Alexandria database, functional PBE.

Energy relative to the lowest polymorph listed for this composition (kcal/mol of atoms): 0.00
Formation energy from raw total energies (eV per atom): 0.542
SG: I-42d (122)

abc: 7.693 7.693 7.697
angles: 60.02 60.02 90.00
Atoms (fractional coordinates):
I 0.376 0.125 0.250
C 0.250 0.750 0.500
Rb 0.000 0.000 0.000
I 0.375 0.624 0.750
Rb 0.750 0.250 0.500
I 0.374 0.625 0.250
I 0.875 0.626 0.750
C 0.500 0.500 0.000

The volume results, record by record, are as follows: 34.7, 21.5, 40.3 Å³ per atom.
The calculated density results, record by record, are as follows: 7.793, 6.349, 3.620 g/cm³.